6
Lattice="4.414 0.000 0.000 0.000 5.512 -0.316 0.000 -1.550 5.009" Properties=species:S:1:pos:R:3 comment="SmZnOs | Alexandria | PBE | optimized geometry" sg="P2_1/m (11)" pbc="T T T"
Os 1.103 -0.020 0.547
Sm 3.310 2.588 1.037
Zn 3.310 -0.107 2.230
Sm 1.103 1.374 3.656
Zn 1.103 4.069 2.463
Os 3.310 3.981 4.147

10
Lattice="3.572 0.000 0.000 0.000 3.572 0.000 0.000 0.000 18.501" Properties=species:S:1:pos:R:3 comment="Sm5Zn4Os | Alexandria | PBE | optimized geometry" sg="P4/mmm (123)" pbc="T T T"
Sm 1.786 1.786 9.251
Sm 1.786 1.786 1.677
Zn 0.000 0.000 7.392
Sm 1.786 1.786 12.967
Sm 1.786 1.786 5.534
Sm 1.786 1.786 16.824
Zn 0.000 0.000 14.789
Zn 0.000 0.000 11.110
Zn 0.000 0.000 3.712
Os 0.000 0.000 0.000

4
Lattice="-1.345 -0.865 -4.583 3.367 -0.597 -3.446 0.721 -4.384 -1.955" Properties=species:S:1:pos:R:3 comment="SmZrZnOs | Alexandria | PBE | optimized geometry" sg="F-43m (216)" pbc="T T T"
Zn 0.000 0.000 0.000
Zr 0.686 -1.462 -2.496
Sm 2.057 -4.385 -7.488
Os 1.371 -2.923 -4.992

4
Lattice="3.319 0.000 0.000 0.000 3.319 0.000 0.000 0.000 8.104" Properties=species:S:1:pos:R:3 comment="SmZr2Os | Alexandria | PBE | optimized geometry" sg="P4/mmm (123)" pbc="T T T"
Sm 1.659 1.659 4.052
Os 1.659 1.659 0.000
Zr 0.000 0.000 1.597
Zr 0.000 0.000 6.507

3
Lattice="3.300 0.000 0.000 0.000 3.300 0.000 -1.650 -1.650 6.469" Properties=species:S:1:pos:R:3 comment="SmZrOs | Alexandria | PBE | optimized geometry" sg="I4mm (107)" pbc="T T T"
Sm 0.000 0.000 0.350
Zr 0.000 0.000 3.785
Os 1.650 1.650 2.333

6
Lattice="5.330 0.000 0.000 2.665 4.616 0.000 2.665 1.539 4.352" Properties=species:S:1:pos:R:3 comment="SmZrOs4 | Alexandria | PBE | optimized geometry" sg="F-43m (216)" pbc="T T T"
Os 4.001 3.845 2.719
Sm 0.000 0.000 0.000
Os 5.330 3.077 0.548
Os 6.659 3.845 2.719
Os 5.330 1.542 2.719
Zr 2.665 1.539 1.088

12
Lattice="5.377 0.035 0.032 1.771 7.541 -0.077 1.766 1.468 7.400" Properties=species:S:1:pos:R:3 comment="SmZrOs | Alexandria | PBE | optimized geometry" sg="P2_1/m (11)" pbc="T T T"
Sm 5.007 2.610 0.573
Zr 3.543 5.139 2.627
Os 2.675 7.343 1.314
Sm 2.139 1.930 3.121
Zr 3.540 2.103 6.366
Sm 3.908 6.434 6.782
Zr 5.372 3.905 4.728
Sm 6.776 7.115 4.234
Os 6.240 1.701 6.041
Os 2.673 4.307 5.053
Zr 5.375 6.941 0.989
Os 6.242 4.737 2.302

4
Lattice="-1.424 0.545 2.955 1.679 -5.596 1.841 3.626 4.148 -0.889" Properties=species:S:1:pos:R:3 comment="Sn3Os | Alexandria | PBE | optimized geometry" sg="Imm2 (44)" pbc="T T T"
Os 0.144 -0.480 0.158
Sn 0.423 1.870 1.730
Sn 0.012 -2.139 2.271
Sn 2.870 -0.813 1.533

8
Lattice="4.229 0.000 0.000 -2.115 4.741 0.000 0.000 0.000 8.722" Properties=species:S:1:pos:R:3 comment="Sn3Os | Alexandria | PBE | optimized geometry" sg="Cmcm (63)" pbc="T T T"
Os 0.000 2.643 2.181
Sn 2.115 3.384 0.453
Os 2.115 2.099 6.542
Sn 0.000 4.028 6.542
Sn 0.000 1.357 8.269
Sn 0.000 1.357 4.815
Sn 2.115 0.714 2.181
Sn 2.115 3.384 3.908

15
Lattice="-3.195 3.901 4.639 -5.464 -4.529 -2.636 6.043 -2.866 6.294" Properties=species:S:1:pos:R:3 comment="Sn13Os2 | Alexandria | PBE | optimized geometry" sg="P-1 (2)" pbc="T T T"
Sn -0.634 -4.024 5.889
Sn 0.000 0.000 0.000
Sn -3.594 -4.104 0.357
Sn -0.670 2.022 5.491
Os -2.582 -2.066 6.119
Sn -2.381 -2.532 3.282
Sn -1.982 0.530 2.407
Os -0.034 -1.428 2.178
Sn 0.979 0.610 7.940
Sn -0.234 -0.962 5.015
Sn -1.946 -5.516 2.805
Sn 2.430 -3.888 6.073
Sn -3.653 0.295 5.106
Sn 1.038 -3.789 3.190
Sn -5.045 0.394 2.224

5
Lattice="5.719 0.000 0.000 0.000 5.719 0.000 0.000 0.000 5.719" Properties=species:S:1:pos:R:3 comment="Sr3SnOs | Alexandria | PBE | optimized geometry" sg="Pm-3m (221)" pbc="T T T"
Sn 2.859 2.859 2.859
Sr 0.000 0.000 2.859
Os 0.000 0.000 0.000
Sr 2.859 0.000 0.000
Sr 0.000 2.859 0.000

5
Lattice="4.686 0.000 0.000 0.000 4.686 0.000 2.343 2.343 5.224" Properties=species:S:1:pos:R:3 comment="SrSn2Os2 | Alexandria | PBE | optimized geometry" sg="I4/mmm (139)" pbc="T T T"
Sn 2.343 4.686 2.612
Os 2.343 2.343 1.185
Sr 0.000 0.000 0.000
Sn 4.686 2.343 2.612
Os 4.686 4.686 4.039

8
Lattice="11.088 0.000 0.000 0.000 11.088 0.000 5.544 5.544 2.573" Properties=species:S:1:pos:R:3 comment="Sr2SnOs | Alexandria | PBE | optimized geometry" sg="I-42d (122)" pbc="T T T"
Sn 5.544 5.544 0.000
Sr 13.860 4.649 1.930
Os 11.088 5.544 1.286
Sr 8.316 6.439 1.930
Os 0.000 0.000 0.000
Sn 5.544 11.088 1.286
Sr 11.983 8.316 0.643
Sr 10.193 2.772 0.643

10
Lattice="-3.144 5.604 3.420 -6.238 -3.733 0.382 1.460 -1.972 4.574" Properties=species:S:1:pos:R:3 comment="Sr2Sn2Os | Alexandria | PBE | optimized geometry" sg="P4/mbm (127)" pbc="T T T"
Os -4.691 0.936 1.901
Os 0.000 0.000 0.000
Sn -2.938 3.075 2.264
Sr -6.537 -0.277 4.913
Sn -6.714 2.379 3.169
Sn -6.445 -1.203 1.539
Sn -2.669 -0.507 0.633
Sr -4.037 -2.524 3.146
Sr -3.885 2.423 5.230
Sr -1.386 0.176 3.463

5
Lattice="5.244 0.000 0.000 0.000 5.244 0.000 0.000 0.000 5.244" Properties=species:S:1:pos:R:3 comment="SrSn3Os | Alexandria | PBE | optimized geometry" sg="Pm-3m (221)" pbc="T T T"
Sn 0.000 0.000 2.622
Os 0.000 0.000 0.000
Sn 2.622 0.000 0.000
Sn 0.000 2.622 0.000
Sr 2.622 2.622 2.622

11
Lattice="6.444 0.000 0.000 0.000 6.444 0.000 0.000 0.000 8.412" Properties=species:S:1:pos:R:3 comment="SrSn8Os2 | Alexandria | PBE | optimized geometry" sg="P4/mmm (123)" pbc="T T T"
Sn 4.854 1.590 1.588
Sn 1.590 4.854 6.824
Sr 3.222 3.222 4.206
Sn 1.590 1.590 6.824
Sn 4.854 1.590 6.824
Sn 1.590 4.854 1.588
Sn 1.590 1.590 1.588
Sn 4.854 4.854 6.824
Os 3.222 0.000 0.000
Os 0.000 3.222 0.000
Sn 4.854 4.854 1.588

4
Lattice="-0.326 3.069 -0.240 -1.396 -0.362 -2.739 -6.194 -0.406 3.212" Properties=species:S:1:pos:R:3 comment="TaSnOs2 | Alexandria | PBE | optimized geometry" sg="P4/mmm (123)" pbc="T T T"
Ta -3.958 1.150 0.117
Os -4.586 -0.301 2.378
Os -1.608 -0.105 0.834
Sn -0.861 1.353 -1.489

8
Lattice="-2.133 -3.425 -0.654 3.377 -1.838 -1.386 2.715 -5.683 8.124" Properties=species:S:1:pos:R:3 comment="TaSn2Os | Alexandria | PBE | optimized geometry" sg="I-42d (122)" pbc="T T T"
Sn -0.245 -3.812 1.445
Os 0.000 0.000 0.000
Sn 2.536 -2.977 1.087
Sn 2.483 -6.225 5.336
Ta 3.357 -5.076 2.859
Sn 3.146 -8.879 4.299
Ta 0.622 -2.632 -1.020
Os 0.602 -5.870 3.225

12
Lattice="4.279 0.000 0.000 0.000 6.345 0.000 0.000 0.000 8.878" Properties=species:S:1:pos:R:3 comment="TaSnOs | Alexandria | PBE | optimized geometry" sg="Pnma (62)" pbc="T T T"
Ta 1.070 4.866 3.160
Os 3.209 0.046 3.382
Ta 1.070 4.652 7.599
Os 3.209 3.127 7.821
Os 1.070 3.218 1.057
Os 1.070 6.299 5.496
Sn 3.209 4.434 5.406
Ta 3.209 1.693 1.279
Ta 3.209 1.479 5.718
Sn 1.070 1.262 7.911
Sn 1.070 1.911 3.472
Sn 3.209 5.083 0.967

5
Lattice="5.318 0.000 0.000 0.000 5.318 0.000 0.000 0.000 5.318" Properties=species:S:1:pos:R:3 comment="TaSn3Os | Alexandria | PBE | optimized geometry" sg="Pm-3m (221)" pbc="T T T"
Os 2.659 2.659 2.659
Ta 0.000 0.000 0.000
Sn 2.659 0.000 0.000
Sn 0.000 0.000 2.659
Sn 0.000 2.659 0.000

4
Lattice="3.700 -2.198 -1.958 1.868 -3.805 2.093 -0.547 -4.275 -1.944" Properties=species:S:1:pos:R:3 comment="TaSn2Os | Alexandria | PBE | optimized geometry" sg="Fm-3m (225)" pbc="T T T"
Sn 3.765 -7.708 -1.356
Ta 0.000 0.000 0.000
Sn 1.255 -2.569 -0.452
Os 2.510 -5.139 -0.904

8
Lattice="-2.657 -5.463 4.105 6.688 -2.983 0.360 2.552 -2.740 4.553" Properties=species:S:1:pos:R:3 comment="TaSnOs2 | Alexandria | PBE | optimized geometry" sg="I-42d (122)" pbc="T T T"
Sn 5.628 -4.973 3.573
Sn 2.015 -4.223 2.233
Ta 0.955 -6.213 5.446
Os -0.266 -4.635 3.872
Os 3.226 -5.133 5.079
Os 5.641 -9.534 7.333
Os 4.565 -3.069 1.754
Ta 0.000 0.000 0.000

5
Lattice="5.101 0.000 0.000 0.000 5.101 0.000 0.000 0.000 5.101" Properties=species:S:1:pos:R:3 comment="TaSn3Os | Alexandria | PBE | optimized geometry" sg="Pm-3m (221)" pbc="T T T"
Os 0.000 0.000 0.000
Sn 0.000 0.000 2.551
Ta 2.551 2.551 2.551
Sn 2.551 0.000 0.000
Sn 0.000 2.551 0.000

4
Lattice="4.542 0.000 0.000 2.271 3.934 0.000 2.271 1.311 3.709" Properties=species:S:1:pos:R:3 comment="TaVSnOs | Alexandria | PBE | optimized geometry" sg="F-43m (216)" pbc="T T T"
Ta 4.542 2.623 1.854
V 6.814 3.934 2.782
Os 2.271 1.311 0.927
Sn 0.000 0.000 0.000

5
Lattice="4.912 0.000 0.000 0.000 4.940 0.000 0.000 0.000 4.912" Properties=species:S:1:pos:R:3 comment="ZrTa2SnOs | Alexandria | PBE | optimized geometry" sg="P4/mmm (123)" pbc="T T T"
Sn 0.000 2.470 0.000
Os 0.000 0.000 0.000
Zr 2.456 2.470 2.456
Ta 0.000 0.000 2.456
Ta 2.456 0.000 0.000

9
Lattice="-3.496 0.426 2.598 -3.049 -6.916 -2.970 4.831 -0.165 6.527" Properties=species:S:1:pos:R:3 comment="Tb6Sn2Os | Alexandria | PBE | optimized geometry" sg="P-62m (189)" pbc="T T T"
Tb -1.899 -6.801 2.245
Tb -1.035 -2.619 2.723
Tb -0.728 -1.652 -0.709
Os -1.749 0.212 1.299
Sn -0.422 -4.665 0.196
Sn 2.204 -2.415 3.361
Tb 1.356 -5.391 2.708
Tb -3.577 -3.936 -0.483
Tb -1.896 -6.955 -1.412

Result set for energy of formation: -0.1010 -0.2592 -0.1806 -0.1211 -0.1058 -0.2055 -0.1353 0.2674 0.1234 0.1057 0.3336 0.0175 0.2039 -0.0833 0.1101 0.1687 0.0644 0.6369 0.0474 1.5667 0.5000 0.7645 1.1682 -0.0211 0.9395 -0.5025 eV per atom, one per record in the order listed.